1.
! PBEsol Tl2RhBrN, optimized geometry; values from VASP
&SYSTEM
  ibrav = 0, nat = 5, ntyp = 4
/
ATOMIC_SPECIES
Tl 204.38 Tl.upf
Rh 102.91 Rh.upf
Br 79.90 Br.upf
N 14.01 N.upf
ATOMIC_POSITIONS angstrom
Tl 2.2841 -0.0486 0.7155
Tl -0.6057 1.1480 2.0117
Rh 1.3325 -0.7933 3.7031
Br -0.3459 -1.8927 0.9759
N 0.0000 0.0000 0.0000
CELL_PARAMETERS angstrom
-0.6919 -3.7855 1.9519
4.5683 -0.0971 1.4310
-1.2115 2.2959 4.0234
! Energy relative to the elements, uncorrected   1.060 eV/atom
! DOS(E_F)   0.887 states/eV/atom
! Final energy   -0.1360 Ha/atom

=====

2.
! PBEsol Ba3HgRu, optimized geometry; values from VASP
&SYSTEM
  ibrav = 0, nat = 5, ntyp = 3
/
ATOMIC_SPECIES
Ba 137.33 Ba.upf
Hg 200.59 Hg.upf
Ru 101.07 Ru.upf
ATOMIC_POSITIONS angstrom
Ba 3.1186 0.0000 0.0000
Hg 0.0000 0.0000 0.0000
Ba 0.0000 0.0000 3.1186
Ba 0.0000 3.1186 0.0000
Ru 3.1186 3.1186 3.1186
CELL_PARAMETERS angstrom
6.2371 0.0000 0.0000
0.0000 6.2371 0.0000
0.0000 0.0000 6.2371
! Formation enthalpy at 0 K   0.900 eV/atom
! DOS(E_F)   1.755 states/eV/atom
! Final energy   -0.0932 Ha/atom

=====

3.
! PBEsol TaBeCr2, optimized geometry; values from VASP
&SYSTEM
  ibrav = 0, nat = 4, ntyp = 3
/
ATOMIC_SPECIES
Cr 52.00 Cr.upf
Ta 180.95 Ta.upf
Be 9.01 Be.upf
ATOMIC_POSITIONS angstrom
Cr 1.5153 0.0000 1.8468
Cr 0.0000 0.0000 0.1142
Ta 0.0000 0.0000 3.9223
Be 0.0000 2.0559 2.0927
CELL_PARAMETERS angstrom
3.0307 0.0000 0.0000
0.0000 4.1117 0.0000
-1.5153 -2.0559 3.9880
! Formation enthalpy at 0 K   0.167 eV/atom
! DOS(E_F)   0.780 states/eV/atom
! Final energy   -0.3341 Ha/atom

=====

4.
! PBEsol MgSbAs2, optimized geometry; values from VASP
&SYSTEM
  ibrav = 0, nat = 4, ntyp = 3
/
ATOMIC_SPECIES
Mg 24.30 Mg.upf
As 74.92 As.upf
Sb 121.76 Sb.upf
ATOMIC_POSITIONS angstrom
Mg 0.0000 0.0000 5.3264
As 0.0000 0.0000 0.0820
As 0.0000 2.0544 3.3751
Sb 1.8934 0.0000 2.2989
CELL_PARAMETERS angstrom
3.7868 0.0000 0.0000
0.0000 4.1089 0.0000
-1.8934 -2.0544 5.5412
! Excess energy over the best structure of this formula in the dataset   111 meV/atom
! Energy relative to the elements, uncorrected   -0.058 eV/atom
! DOS(E_F)   0.372 states/eV/atom
! Final energy   -0.1536 Ha/atom

=====

5.
! PBEsol ReHgBr2, optimized geometry; values from VASP
&SYSTEM
  ibrav = 0, nat = 4, ntyp = 3
/
ATOMIC_SPECIES
Hg 200.59 Hg.upf
Re 186.21 Re.upf
Br 79.90 Br.upf
ATOMIC_POSITIONS angstrom
Hg 0.0000 3.4676 2.3144
Re 1.5569 1.0174 2.3490
Br 0.0000 0.8869 4.3360
Br 0.0000 0.8356 0.3663
CELL_PARAMETERS angstrom
3.1138 0.0000 0.0000
-1.5569 5.1800 -0.0721
0.0000 -2.7684 6.3400
! Excess energy over the best structure of this formula in the dataset   2 meV/atom
! Energy relative to the elements, uncorrected   0.366 eV/atom
! DOS(E_F)   0.793 states/eV/atom
! Final energy   -0.1486 Ha/atom

=====

6.
! PBEsol LiIrW, optimized geometry; values from VASP
&SYSTEM
  ibrav = 0, nat = 3, ntyp = 3
/
ATOMIC_SPECIES
Li 6.94 Li.upf
W 183.84 W.upf
Ir 192.22 Ir.upf
ATOMIC_POSITIONS angstrom
Li -0.7511 -2.2460 0.2756
W 0.0000 0.0000 0.0000
Ir -1.5022 -4.4919 0.5512
CELL_PARAMETERS angstrom
-3.1139 -2.2604 0.5941
-0.2037 -3.5114 -1.6696
0.3132 -3.2121 2.1778
! Formation enthalpy at 0 K   1.033 eV/atom
! DOS(E_F)   1.152 states/eV/atom
! Final energy   -0.2756 Ha/atom